VASP calculation (PBE) on Cs2ZnCd after structural relaxation.

abc: 8.360 8.360 8.360
angles: 103.57 103.57 122.05
Element x y z (fractional)
1 Cs 0.110 0.125 0.485
2 Cs 0.375 0.890 0.015
3 Cs 0.640 0.625 0.515
4 Cs 0.875 0.360 0.985
5 Zn 0.000 0.000 0.000
6 Zn 0.750 0.250 0.500
7 Cd 0.250 0.750 0.500
8 Cd 0.500 0.500 0.000

Summary:
The magnetization comes out at 0.0 μB per formula unit. The calculated formation energy is 230 meV/atom. The symmetry is I-42d.